The following is a PBE calculation of a geometry-optimized Pm5YMg6 structure, from the Alexandria database.

Summary:
Size of the total moment in μB/f.u.: 0.0
Volume in Å³/cell: 686.85
Formation enthalpy at 0 K in meV per atom: -108

abc: 5.448 16.353 7.710
angles: 90.00 90.00 90.00
Space group Cmmm (No. 65)
One atom of each set of equivalent atoms:
Pm  0.000  0.000  0.000 x2
Pm  0.000  0.332  0.000 x4
Pm  0.000  0.334  0.500 x4
Y  0.000  0.000  0.500 x2
Mg  0.000  0.165  0.253 x8
Mg  0.000  0.500  0.251 x4